No. 1
B10Pb3O20: optimized geometry, PBE.

Mass density, g/cm3: 4.94
Volume, Å³/cell: 1410
VASP energy, eV per cell: -972.704

Structure (CIF):
```
data_B10Pb3O20
_space_group_name_H-M_alt 'C 1 c 1'
_space_group_IT_number 9
_cell_length_a 9.712
_cell_length_b 16.870
_cell_length_c 8.606
_cell_angle_alpha 90.00
_cell_angle_beta 90.15
_cell_angle_gamma 90.00
loop_
_space_group_symop_operation_xyz
'x,y,z'
'x,-y,z+1/2'
'x+1/2,y+1/2,z'
'x+1/2,-y+1/2,z+1/2'
loop_
_atom_site_label
_atom_site_type_symbol
_atom_site_fract_x
_atom_site_fract_y
_atom_site_fract_z
B1 B 0.000 0.015 0.000
B2 B 0.065 0.304 0.270
B3 B 0.124 0.499 0.208
B4 B 0.185 0.249 0.041
B5 B 0.216 0.094 0.040
B6 B 0.358 0.127 0.269
B7 B 0.412 0.181 0.001
B8 B 0.444 0.431 0.768
B9 B 0.456 0.196 0.501
B10 B 0.468 0.344 0.539
Pb1 Pb 0.184 0.301 0.689
Pb2 Pb 0.295 0.069 0.688
Pb3 Pb 0.391 0.371 0.187
O1 O 0.046 0.309 0.428
O2 O 0.100 0.303 0.950
O3 O 0.121 0.165 0.674
O4 O 0.123 0.167 0.024
O5 O 0.151 0.023 0.980
O6 O 0.182 0.425 0.209
O7 O 0.183 0.270 0.208
O8 O 0.205 0.434 0.713
O9 O 0.249 0.084 0.207
O10 O 0.324 0.252 0.981
O11 O 0.339 0.110 0.948
O12 O 0.375 0.134 0.428
O13 O 0.394 0.276 0.479
O14 O 0.430 0.413 0.448
O15 O 0.437 0.356 0.707
O16 O 0.440 0.173 0.172
O17 O 0.447 0.443 0.927
O18 O 0.453 0.179 0.672
O19 O 0.474 0.495 0.671
O20 O 0.483 0.007 0.211
```



No. 2
TbSm3Pb2C: optimized geometry, PBE.

Calculated formation energy, kJ/mol of formula units: -347.6
Mass density, g/cm3: 8.64
Volume, Å³/cell: 398
VASP energy, eV per cell: -78.061

Structure (CIF):
```
data_TbSm3Pb2C
_space_group_name_H-M_alt 'I m m m'
_space_group_IT_number 71
_space_group_name_Hall '-I 2 2'
_cell_length_a 4.884
_cell_length_b 4.950
_cell_length_c 16.479
_cell_angle_alpha 90.00
_cell_angle_beta 90.00
_cell_angle_gamma 90.00
loop_
_atom_site_label
_atom_site_type_symbol
_atom_site_fract_x
_atom_site_fract_y
_atom_site_fract_z
Tb1 Tb 0.000 0.000 0.000
Sm1 Sm 0.000 0.000 0.500
Sm2 Sm 0.000 0.500 0.341
Pb1 Pb 0.000 0.500 0.141
C1 C 0.000 0.500 0.500
```



No. 3
Li2CoSn2: optimized geometry, PBE.

Calculated formation energy, kJ/mol of formula units: 54.4
Mass density, g/cm3: 6.05
Volume, Å³/cell: 170
VASP energy, eV per cell: -36.751

Structure (CIF):
```
data_Li2CoSn2
_space_group_name_H-M_alt 'P 4/m b m'
_space_group_IT_number 127
_space_group_name_Hall '-P 4 2ab'
_cell_length_a 6.560
_cell_length_b 6.560
_cell_length_c 3.958
_cell_angle_alpha 90.00
_cell_angle_beta 90.00
_cell_angle_gamma 90.00
loop_
_atom_site_label
_atom_site_type_symbol
_atom_site_fract_x
_atom_site_fract_y
_atom_site_fract_z
Li1 Li 0.135 0.365 0.000
Co1 Co 0.000 0.000 0.000
Sn1 Sn 0.174 0.674 0.500
```



No. 4
TmAu: optimized geometry, PBE.

Calculated formation energy, kJ/mol of formula units: -171.5
Mass density, g/cm3: 13.55
Volume, Å³/cell: 45
VASP energy, eV per cell: -9.526

Structure (CIF):
```
data_TmAu
_space_group_name_H-M_alt 'P m -3 m'
_space_group_IT_number 221
_space_group_name_Hall '-P 4 2 3'
_cell_length_a 3.552
_cell_length_b 3.552
_cell_length_c 3.552
_cell_angle_alpha 90.00
_cell_angle_beta 90.00
_cell_angle_gamma 90.00
loop_
_atom_site_label
_atom_site_type_symbol
_atom_site_fract_x
_atom_site_fract_y
_atom_site_fract_z
Tm1 Tm 0.000 0.000 0.000
Au1 Au 0.500 0.500 0.500
```